DFT (PBE) results for a relaxed SrCu2Br crystal.

Summary:
For the density, the calculation gives 5.09 g cm⁻³. As for the formation energy without anion corrections: -0.249 eV/atom. For the total magnetization, the calculation gives 0.0000 μB/atom. For the excess energy over the best structure of this formula in the dataset, the calculation gives 221 meV/atom.

Unit cell a=4.0056 b=4.8415 c=4.9522 alpha=90.00 beta=90.14 gamma=90.00
Space group P2/m (No. 10)
Inequivalent atoms, fractional coordinates:
Sr (0.0000, 0.0000, 0.0000) (multiplicity 1)
Cu (0.4970, 0.5000, 0.7601) (multiplicity 2)
Br (0.5000, 0.0000, 0.5000) (multiplicity 1)